Ba2LaTa | Alexandria | GGA-PBEsol | optimized geometry; ρ = 7.56 Mg/m³; energy of formation from the pure elements = 3.4 eV per formula unit; space group = P4/mmm, No. 123; raw total energy = -4.686 eV/atom
1.0
-2.098 -0.667 2.539
1.564 -2.928 0.523
7.252 5.188 7.357
La Ba Ta
1 2 1
direct
0.500 0.500 0.000
0.000 0.000 0.717
0.000 0.000 0.283
0.500 0.500 0.500